Below is a geometry-optimized KTbCdBr6 structure, with properties calculated at the GGA-PBE level.

The calculation puts the uncorrected formation energy at -1.519 eV/atom. The final energy comes out at -3.37 eV/atom. The calculation puts the magnetic moment at 0.00 μB/atom.

a b c (Å): 7.295 7.295 14.627
angles (deg): 90.00 90.00 120.00
Atoms (fractional coordinates):
K 0.000 0.000 0.000
K 0.000 0.000 0.500
Tb 0.667 0.333 0.250
Tb 0.333 0.667 0.750
Cd 0.333 0.667 0.250
Cd 0.667 0.333 0.750
Br 0.629 0.629 0.138
Br 0.001 0.371 0.138
Br 0.371 0.001 0.638
Br 0.999 0.629 0.862
Br 0.371 0.371 0.362
Br 0.001 0.629 0.362
Br 0.629 0.001 0.862
Br 0.629 0.999 0.362
Br 0.999 0.371 0.638
Br 0.371 0.999 0.138
Br 0.629 0.629 0.638
Br 0.371 0.371 0.862

=====

Below is a geometry-optimized Ir2AuBr structure, with properties calculated at the GGA-PBE level.

The calculation puts the uncorrected formation energy at 1.012 eV/atom. The final energy comes out at -4.66 eV/atom. Its excess energy over the best structure of this formula in the dataset is 0.558 eV/atom. The calculation puts the magnetic moment at 0.00 μB/atom.

a b c (Å): 2.983 3.678 6.082
angles (deg): 90.00 90.00 90.00
Atoms (fractional coordinates):
Ir 0.000 0.000 0.001
Ir 0.000 0.000 0.499
Au 0.500 0.500 0.250
Br 0.500 0.500 0.750

=====

Below is a geometry-optimized CuPt structure, with properties calculated at the GGA-PBE level.

The final energy comes out at -5.18 eV/atom. The calculation puts the magnetic moment at 0.00 μB/atom. As for the formation energy: -0.11 eV/atom.

a b c (Å): 2.764 2.764 7.256
angles (deg): 90.00 90.00 90.00
Atoms (fractional coordinates):
Cu 0.250 0.250 0.111
Cu 0.750 0.750 0.889
Pt 0.250 0.250 0.643
Pt 0.750 0.750 0.357

=====

Below is a geometry-optimized Tm6TlAg2 structure, with properties calculated at the GGA-PBE level.

The final energy comes out at -4.07 eV/atom. The calculation puts the magnetic moment at 0.00 μB/atom. As for the formation energy: -0.19 eV/atom.

a b c (Å): 8.581 8.581 8.581
angles (deg): 106.87 111.21 110.36
Atoms (fractional coordinates):
Tm 0.540 0.723 0.817
Tm 0.460 0.277 0.183
Tm 0.093 0.277 0.817
Tm 0.907 0.723 0.183
Tm 0.797 0.758 0.555
Tm 0.203 0.242 0.445
Tm 0.203 0.758 0.961
Tm 0.797 0.242 0.039
Tm 0.716 0.393 0.677
Tm 0.284 0.607 0.323
Tm 0.284 0.961 0.677
Tm 0.716 0.039 0.323
Tl 0.000 0.500 0.500
Tl 0.000 0.000 0.000
Ag 0.500 0.367 0.867
Ag 0.500 0.633 0.133
Ag 0.646 0.000 0.646
Ag 0.354 0.000 0.354

=====

Below is a geometry-optimized KSrSe3 structure, with properties calculated at the GGA-PBE level.

The calculation puts the uncorrected formation energy at -0.563 eV/atom. The final energy comes out at -3.21 eV/atom. Its excess energy over the best structure of this formula in the dataset is 0.000 eV/atom. The calculation puts the magnetic moment at 0.60 μB/atom.

a b c (Å): 5.942 5.942 5.942
angles (deg): 90.00 90.00 90.00
Site moments in Bohr magnetons follow the coordinates.
Atoms (fractional coordinates):
Sr 0.000 0.000 0.000  0.00
K 0.500 0.500 0.500  0.00
Se 0.000 0.500 0.000  0.64
Se 0.000 0.000 0.500  0.64
Se 0.500 0.000 0.000  0.51

=====

Below is a geometry-optimized Cs3Hg8Bi3 structure, with properties calculated at the GGA-PBE level.

The final energy comes out at -1.38 eV/atom. The calculation puts the magnetic moment at 0.00 μB/atom. As for the formation energy: -0.19 eV/atom.

a b c (Å): 5.476 10.314 10.163
angles (deg): 64.73 74.37 74.60
Atoms (fractional coordinates):
Cs 0.297 0.712 0.694
Cs 0.703 0.288 0.306
Cs 0.000 0.000 0.000
Hg 0.138 0.143 0.581
Hg 0.862 0.857 0.419
Hg 0.842 0.439 0.878
Hg 0.158 0.561 0.122
Hg 0.501 0.672 0.327
Hg 0.499 0.328 0.673
Hg 0.352 0.005 0.291
Hg 0.648 0.995 0.709
Bi 0.000 0.500 0.500
Bi 0.650 0.707 0.992
Bi 0.350 0.293 0.008

=====

Below is a geometry-optimized TiFeCo3 structure, with properties calculated at the GGA-PBE level.

The final energy comes out at -7.32 eV/atom. Its excess energy over the best structure of this formula in the dataset is 0.310 eV/atom. The calculation puts the magnetic moment at 0.89 μB/atom. As for the formation energy: 0.22 eV/atom.

a b c (Å): 4.708 5.414 5.414
angles (deg): 110.07 90.00 90.00
Site moments in Bohr magnetons follow the coordinates.
Atoms (fractional coordinates):
Ti 0.250 0.296 0.704  -0.58
Ti 0.750 0.704 0.296  -0.58
Fe 0.000 0.000 0.000  1.82
Fe 0.500 0.000 0.000  1.82
Co 0.250 0.776 0.224  0.97
Co 0.750 0.224 0.776  0.97
Co 0.250 0.742 0.636  1.19
Co 0.750 0.258 0.364  1.19
Co 0.250 0.364 0.258  1.19
Co 0.750 0.636 0.742  1.19

=====

Below is a geometry-optimized Sr2LiGe structure, with properties calculated at the GGA-PBE level.

The final energy comes out at -2.75 eV/atom. The calculation puts the magnetic moment at 0.00 μB/atom. As for the formation energy: -0.28 eV/atom.

a b c (Å): 3.922 5.578 5.578
angles (deg): 90.00 90.00 90.00
Atoms (fractional coordinates):
Sr 0.000 0.000 0.500
Sr 0.000 0.500 0.000
Ge 0.500 0.500 0.500
Li 0.500 0.000 0.000

=====

Below is a geometry-optimized CsK2Hg structure, with properties calculated at the GGA-PBE level.

The final energy comes out at -0.94 eV/atom. The calculation puts the magnetic moment at 0.00 μB/atom. As for the formation energy: -0.11 eV/atom.

a b c (Å): 9.141 11.619 12.712
angles (deg): 130.40 90.00 90.00
Atoms (fractional coordinates):
Cs 0.491 0.136 0.413
Cs 0.991 0.364 0.587
Cs 0.509 0.864 0.587
Cs 0.009 0.636 0.413
K 0.834 0.137 0.149
K 0.334 0.363 0.851
K 0.166 0.863 0.851
K 0.666 0.637 0.149
K 0.606 0.695 0.833
K 0.106 0.805 0.167
K 0.394 0.305 0.167
K 0.894 0.195 0.833
Hg 0.658 0.471 0.454
Hg 0.158 0.029 0.546
Hg 0.342 0.529 0.546
Hg 0.842 0.971 0.454

=====

Below is a geometry-optimized SrSn2HgB structure, with properties calculated at the GGA-PBE level.

The final energy comes out at -1.71 eV/atom. The calculation puts the magnetic moment at 0.00 μB/atom. As for the formation energy: 1.62 eV/atom.

a b c (Å): 6.147 5.992 6.147
angles (deg): 90.00 90.00 90.00
Atoms (fractional coordinates):
Sr 0.000 0.000 0.000
B 0.500 0.500 0.500
Hg 0.000 0.500 0.000
Sn 0.000 0.000 0.500
Sn 0.500 0.000 0.000